# 1
Sc2AlCd | OQMD via LeMat-Bulk | GGA-PBE | optimized geometry; spin magnetization = 0.02 μB/f.u.; E_tot = -4.3318 eV per atom; crystal system = cubic
1.0
-1.843 -3.237 3.198
-3.730 -2.905 -1.322
0.748 -4.806 -0.666
Al Cd Sc
1 1 2
Direct
0.500 0.500 0.500
0.250 0.250 0.250
0.750 0.750 0.750
0.000 0.000 0.000

# 2
Sc2Al2ZnCd | OQMD via LeMat-Bulk | GGA-PBE | optimized geometry; spin magnetization = 0.00 μB/f.u.; E_tot = -3.9145 eV per atom; crystal system = monoclinic
1.0
-3.152 0.176 7.094
-3.187 -2.812 -1.347
9.340 -11.404 1.705
Zn Sc Al Cd
4 8 8 4
Direct
0.002 0.500 0.998
0.248 0.500 0.747
0.002 0.000 0.505
0.499 0.500 0.504
0.422 0.000 0.806
0.684 0.000 0.558
0.950 0.500 0.814
0.176 0.000 0.057
0.700 0.500 0.061
0.188 0.500 0.563
0.942 0.000 0.322
0.441 0.500 0.322
0.816 0.500 0.444
0.066 0.000 0.685
0.820 0.000 0.937
0.313 0.000 0.443
0.305 0.500 0.932
0.553 0.500 0.684
0.062 0.500 0.183
0.562 0.000 0.187
0.250 0.000 0.250
0.749 0.000 0.749
0.499 0.000 0.997
0.752 0.500 0.251

# 3
Al2CdTeSe3 | OQMD via LeMat-Bulk | GGA-PBE | optimized geometry; E_tot = -3.8634 eV per atom; crystal system = triclinic
1.0
-2.490 5.153 1.524
-4.300 -1.038 -4.055
0.267 -4.636 5.049
Se Cd Al Te
3 1 2 1
Direct
0.098 0.092 0.725
0.632 0.637 0.725
0.370 0.905 0.266
0.489 0.504 0.996
0.263 0.765 0.509
0.004 0.987 0.993
0.894 0.361 0.286

# 4
Al2CdSi2 | OQMD via LeMat-Bulk | GGA-PBE | optimized geometry; E_tot = -3.7028 eV per atom; crystal system = tetragonal
1.0
5.716 -0.416 -1.115
2.719 5.007 -1.273
-3.600 -1.867 4.200
Si Al Cd
2 2 1
Direct
0.618 0.618 0.000
0.382 0.382 0.000
0.750 0.250 0.500
0.250 0.750 0.500
0.000 0.000 0.000

# 5
AlCdSi2 | OQMD via LeMat-Bulk | GGA-PBE | optimized geometry; E_tot = -3.3934 eV per atom; crystal system = cubic
1.0
0.000 3.288 3.288
3.288 0.000 3.288
3.288 3.288 0.000
Si Al Cd
2 1 1
Direct
0.750 0.750 0.750
0.000 0.000 0.000
0.500 0.500 0.500
0.250 0.250 0.250

# 6
AlCdSn2 | OQMD via LeMat-Bulk | GGA-PBE | optimized geometry; E_tot = -2.9841 eV per atom; crystal system = cubic
1.0
0.000 3.660 3.660
3.660 0.000 3.660
3.660 3.660 0.000
Al Sn Cd
1 2 1
Direct
0.750 0.750 0.750
0.000 0.000 0.000
0.250 0.250 0.250
0.500 0.500 0.500

# 7
AlCdSn | OQMD via LeMat-Bulk | GGA-PBE | optimized geometry; E_tot = -2.6677 eV per atom; crystal system = cubic
1.0
-0.143 -2.255 4.236
-3.155 -3.545 0.727
1.528 -4.537 0.356
Cd Sn Al
1 1 1
Direct
0.750 0.750 0.750
0.000 0.000 0.000
0.250 0.250 0.250

# 8
SrAl2Cd2 | OQMD via LeMat-Bulk | GGA-PBE | optimized geometry; E_tot = -2.1672 eV per atom; crystal system = trigonal
1.0
-2.825 3.417 1.452
2.173 -2.711 3.113
5.697 4.671 0.092
Al Cd Sr
2 2 1
Direct
0.667 0.333 0.674
0.333 0.667 0.326
0.333 0.667 0.700
0.667 0.333 0.300
0.000 0.000 0.000

# 9
SrAl2Cd | OQMD via LeMat-Bulk | GGA-PBE | optimized geometry; E_tot = -2.5338 eV per atom; crystal system = cubic
1.0
0.000 3.608 3.608
3.608 0.000 3.608
3.608 3.608 0.000
Al Sr Cd
2 1 1
Direct
0.500 0.500 0.500
0.250 0.250 0.250
0.000 0.000 0.000
0.750 0.750 0.750

# 10
Sr2Al2Cd | OQMD via LeMat-Bulk | GGA-PBE | optimized geometry; E_tot = -2.0712 eV per atom; crystal system = tetragonal
1.0
-4.349 -1.946 1.619
2.520 -3.630 2.406
1.228 6.599 3.409
Sr Al Cd
2 2 1
Direct
0.250 0.750 0.500
0.750 0.250 0.500
0.408 0.408 0.815
0.592 0.592 0.185
0.000 0.000 0.000

# 11
Sr2AlCd | OQMD via LeMat-Bulk | GGA-PBE | optimized geometry; E_tot = -1.9891 eV per atom; crystal system = cubic
1.0
-1.209 -5.329 0.717
1.233 -2.489 4.761
-4.027 -1.470 3.464
Cd Sr Al
1 2 1
Direct
0.500 0.500 0.500
0.000 0.000 0.000
0.250 0.250 0.250
0.750 0.750 0.750

# 12
TaAl2Cd | OQMD via LeMat-Bulk | GGA-PBE | optimized geometry; spin magnetization = 0.96 μB/f.u.; E_tot = -4.5989 eV per atom; crystal system = cubic
1.0
0.000 3.300 3.300
3.300 0.000 3.300
3.300 3.300 0.000
Al Cd Ta
2 1 1
Direct
0.250 0.250 0.250
0.000 0.000 0.000
0.500 0.500 0.500
0.750 0.750 0.750